# LaNd2InN (GGA-PBE, optimized geometry)
# Spin magnetization, μB per formula unit: 0.00
# DOS at the Fermi energy, states/eV/f.u.: 3.00
# Uncorrected formation energy, eV/atom: -0.8626
# Energy, eV per atom: -5.97
# SG: P4/mmm
data_LaNd2InN
_chemical_formula_sum 'La1 Nd2 In1 N1'
_cell_length_a 5.072
_cell_length_b 5.072
_cell_length_c 5.081
_cell_angle_alpha 90.00
_cell_angle_beta 90.00
_cell_angle_gamma 90.00
_space_group_name_H-M_alt 'P 1'
_space_group_IT_number 1
loop_
_space_group_symop_operation_xyz
'x,y,z'
loop_
_atom_site_label
_atom_site_fract_x
_atom_site_fract_y
_atom_site_fract_z
_atom_site_occupancy
La1 0.000 0.000 0.000 1
Nd1 0.000 0.500 0.500 1
Nd2 0.500 0.000 0.500 1
In1 0.500 0.500 0.000 1
N1 0.000 0.000 0.500 1

=====

# CaSiAg (GGA-PBE, optimized geometry)
# Spin magnetization, μB per formula unit: 0.00
# DOS at the Fermi energy, states/eV/f.u.: 1.81
# Uncorrected formation energy, eV/atom: -0.3149
# Energy, eV per atom: -3.74
# SG: I-4m2
data_CaSiAg
_chemical_formula_sum 'Ca2 Si2 Ag2'
_cell_length_a 8.257
_cell_length_b 8.257
_cell_length_c 8.257
_cell_angle_alpha 150.28
_cell_angle_beta 150.28
_cell_angle_gamma 42.53
_space_group_name_H-M_alt 'P 1'
_space_group_IT_number 1
loop_
_space_group_symop_operation_xyz
'x,y,z'
loop_
_atom_site_label
_atom_site_fract_x
_atom_site_fract_y
_atom_site_fract_z
_atom_site_occupancy
Ca1 0.000 0.000 0.000 1
Ca2 0.750 0.250 0.500 1
Si1 0.425 0.425 0.000 1
Si2 0.575 0.575 0.000 1
Ag1 0.161 0.661 0.500 1
Ag2 0.339 0.839 0.500 1

=====

# DyHoBe (GGA-PBE, optimized geometry)
# Offset from the most stable computed form, meV/atom: 13
# Spin magnetization, μB per formula unit: 0.00
# ΔH_f (0 K), eV per atom: 0.083
# DOS at the Fermi energy, states/eV/f.u.: 3.20
# Energy, eV per atom: -4.22
# SG: I4mm
data_DyHoBe
_chemical_formula_sum 'Dy1 Ho1 Be1'
_cell_length_a 6.451
_cell_length_b 6.451
_cell_length_c 6.451
_cell_angle_alpha 148.97
_cell_angle_beta 148.97
_cell_angle_gamma 44.46
_space_group_name_H-M_alt 'P 1'
_space_group_IT_number 1
loop_
_space_group_symop_operation_xyz
'x,y,z'
loop_
_atom_site_label
_atom_site_fract_x
_atom_site_fract_y
_atom_site_fract_z
_atom_site_occupancy
Dy1 0.000 0.000 0.000 1
Ho1 0.272 0.272 0.000 1
Be1 0.637 0.637 0.000 1

=====

# K3FeB (GGA-PBE, optimized geometry)
# Offset from the most stable computed form, meV/atom: 0
# Spin magnetization, μB per formula unit: 3.26
# ΔH_f (0 K), eV per atom: 1.452
# DOS at the Fermi energy, states/eV/f.u.: 14.08
# Energy, eV per atom: -2.23
# SG: Pm-3m
data_K3FeB
_chemical_formula_sum 'K3 Fe1 B1'
_cell_length_a 5.935
_cell_length_b 5.935
_cell_length_c 5.935
_cell_angle_alpha 90.00
_cell_angle_beta 90.00
_cell_angle_gamma 90.00
_space_group_name_H-M_alt 'P 1'
_space_group_IT_number 1
loop_
_space_group_symop_operation_xyz
'x,y,z'
loop_
_atom_site_label
_atom_site_fract_x
_atom_site_fract_y
_atom_site_fract_z
_atom_site_occupancy
K1 0.000 0.000 0.500 1
K2 0.000 0.500 0.000 1
K3 0.500 0.000 0.000 1
Fe1 0.500 0.500 0.500 1
B1 0.000 0.000 0.000 1

=====

# NaPmHg3 (GGA-PBE, optimized geometry)
# Offset from the most stable computed form, meV/atom: 70
# Spin magnetization, μB per formula unit: 0.00
# ΔH_f (0 K), eV per atom: -0.282
# DOS at the Fermi energy, states/eV/f.u.: 2.79
# Energy, eV per atom: -1.68
# SG: C2/m
data_NaPmHg3
_chemical_formula_sum 'Na2 Pm2 Hg6'
_cell_length_a 8.368
_cell_length_b 8.368
_cell_length_c 6.404
_cell_angle_alpha 101.81
_cell_angle_beta 101.81
_cell_angle_gamma 37.23
_space_group_name_H-M_alt 'P 1'
_space_group_IT_number 1
loop_
_space_group_symop_operation_xyz
'x,y,z'
loop_
_atom_site_label
_atom_site_fract_x
_atom_site_fract_y
_atom_site_fract_z
_atom_site_occupancy
Na1 0.204 0.204 0.341 1
Na2 0.796 0.796 0.659 1
Pm1 0.397 0.397 0.095 1
Pm2 0.603 0.603 0.905 1
Hg1 0.001 0.001 0.248 1
Hg2 0.205 0.205 0.832 1
Hg3 0.405 0.405 0.596 1
Hg4 0.595 0.595 0.404 1
Hg5 0.795 0.795 0.168 1
Hg6 0.999 0.999 0.752 1

=====

# Nd3In7Rh4 (GGA-PBE, optimized geometry)
# Spin magnetization, μB per formula unit: 0.00
# ΔH_f (0 K), eV per atom: -0.539
# DOS at the Fermi energy, states/eV/f.u.: 8.52
# Energy, eV per atom: -5.03
# SG: C2/m
data_Nd3In7Rh4
_chemical_formula_sum 'Nd3 In7 Rh4'
_cell_length_a 8.571
_cell_length_b 8.571
_cell_length_c 10.067
_cell_angle_alpha 121.43
_cell_angle_beta 121.43
_cell_angle_gamma 30.43
_space_group_name_H-M_alt 'P 1'
_space_group_IT_number 1
loop_
_space_group_symop_operation_xyz
'x,y,z'
loop_
_atom_site_label
_atom_site_fract_x
_atom_site_fract_y
_atom_site_fract_z
_atom_site_occupancy
Nd1 0.000 0.000 0.000 1
Nd2 0.308 0.308 0.296 1
Nd3 0.692 0.692 0.704 1
In1 0.000 0.000 0.500 1
In2 0.162 0.162 0.428 1
In3 0.315 0.315 0.972 1
In4 0.494 0.494 0.716 1
In5 0.506 0.506 0.284 1
In6 0.685 0.685 0.028 1
In7 0.838 0.838 0.572 1
Rh1 0.113 0.113 0.834 1
Rh2 0.334 0.334 0.722 1
Rh3 0.666 0.666 0.278 1
Rh4 0.887 0.887 0.166 1

=====

# CsAlAs2O8 (GGA-PBE, optimized geometry)
# Spin magnetization, μB per formula unit: 2.05
# DOS at the Fermi energy, states/eV/f.u.: 7.22
# Uncorrected formation energy, eV/atom: -1.4371
# Energy, eV per atom: -5.90
# SG: P-3
data_CsAlAs2O8
_chemical_formula_sum 'Cs1 Al1 As2 O8'
_cell_length_a 5.206
_cell_length_b 5.206
_cell_length_c 8.944
_cell_angle_alpha 90.00
_cell_angle_beta 90.00
_cell_angle_gamma 120.00
_space_group_name_H-M_alt 'P 1'
_space_group_IT_number 1
loop_
_space_group_symop_operation_xyz
'x,y,z'
loop_
_atom_site_label
_atom_site_fract_x
_atom_site_fract_y
_atom_site_fract_z
_atom_site_occupancy
Cs1 0.000 0.000 0.000 1
Al1 0.000 0.000 0.500 1
As1 0.333 0.667 0.678 1
As2 0.667 0.333 0.322 1
O1 0.059 0.320 0.624 1
O2 0.261 0.941 0.624 1
O3 0.320 0.261 0.376 1
O4 0.333 0.667 0.869 1
O5 0.667 0.333 0.131 1
O6 0.680 0.739 0.624 1
O7 0.739 0.059 0.376 1
O8 0.941 0.680 0.376 1

=====

# BaSi2Ni (GGA-PBE, optimized geometry)
# Spin magnetization, μB per formula unit: 0.00
# DOS at the Fermi energy, states/eV/f.u.: 2.26
# Uncorrected formation energy, eV/atom: -0.1495
# Energy, eV per atom: -4.79
# SG: Immm
data_BaSi2Ni
_chemical_formula_sum 'Ba1 Si2 Ni1'
_cell_length_a 5.428
_cell_length_b 5.428
_cell_length_c 5.428
_cell_angle_alpha 136.47
_cell_angle_beta 104.90
_cell_angle_gamma 91.03
_space_group_name_H-M_alt 'P 1'
_space_group_IT_number 1
loop_
_space_group_symop_operation_xyz
'x,y,z'
loop_
_atom_site_label
_atom_site_fract_x
_atom_site_fract_y
_atom_site_fract_z
_atom_site_occupancy
Ba1 0.000 0.000 0.000 1
Si1 0.350 0.850 0.500 1
Si2 0.650 0.150 0.500 1
Ni1 0.500 0.500 0.000 1

=====

# SnH3Br (GGA-PBE, optimized geometry)
# Offset from the most stable computed form, meV/atom: 659
# Spin magnetization, μB per formula unit: 0.00
# DOS at the Fermi energy, states/eV/f.u.: 1.61
# Energy, eV per atom: -2.15
# SG: Pm-3m
data_SnH3Br
_chemical_formula_sum 'Sn1 H3 Br1'
_cell_length_a 4.027
_cell_length_b 4.027
_cell_length_c 4.027
_cell_angle_alpha 90.00
_cell_angle_beta 90.00
_cell_angle_gamma 90.00
_space_group_name_H-M_alt 'P 1'
_space_group_IT_number 1
loop_
_space_group_symop_operation_xyz
'x,y,z'
loop_
_atom_site_label
_atom_site_fract_x
_atom_site_fract_y
_atom_site_fract_z
_atom_site_occupancy
Sn1 0.000 0.000 0.000 1
H1 0.000 0.500 0.500 1
H2 0.500 0.000 0.500 1
H3 0.500 0.500 0.000 1
Br1 0.500 0.500 0.500 1

=====

# SrPrTm2 (GGA-PBE, optimized geometry)
# Offset from the most stable computed form, meV/atom: 8
# Spin magnetization, μB per formula unit: 0.00
# ΔH_f (0 K), eV per atom: 0.145
# DOS at the Fermi energy, states/eV/f.u.: 6.66
# Energy, eV per atom: -3.71
# SG: P4/mmm
data_SrPrTm2
_chemical_formula_sum 'Sr1 Pr1 Tm2'
_cell_length_a 3.715
_cell_length_b 3.715
_cell_length_c 10.544
_cell_angle_alpha 90.00
_cell_angle_beta 90.00
_cell_angle_gamma 90.00
_space_group_name_H-M_alt 'P 1'
_space_group_IT_number 1
loop_
_space_group_symop_operation_xyz
'x,y,z'
loop_
_atom_site_label
_atom_site_fract_x
_atom_site_fract_y
_atom_site_fract_z
_atom_site_occupancy
Sr1 0.000 0.000 0.000 1
Pr1 0.000 0.000 0.500 1
Tm1 0.500 0.500 0.277 1
Tm2 0.500 0.500 0.723 1

=====

# Li2PrIn (GGA-PBE, optimized geometry)
# Offset from the most stable computed form, meV/atom: 211
# Spin magnetization, μB per formula unit: 0.23
# ΔH_f (0 K), eV per atom: -0.106
# DOS at the Fermi energy, states/eV/f.u.: 2.62
# Energy, eV per atom: -2.94
# SG: P4/mmm
data_Li2PrIn
_chemical_formula_sum 'Li2 Pr1 In1'
_cell_length_a 3.684
_cell_length_b 3.684
_cell_length_c 7.000
_cell_angle_alpha 90.00
_cell_angle_beta 90.00
_cell_angle_gamma 90.00
_space_group_name_H-M_alt 'P 1'
_space_group_IT_number 1
loop_
_space_group_symop_operation_xyz
'x,y,z'
loop_
_atom_site_label
_atom_site_fract_x
_atom_site_fract_y
_atom_site_fract_z
_atom_site_occupancy
Li1 0.000 0.000 0.199 1
Li2 0.000 0.000 0.801 1
Pr1 0.500 0.500 0.500 1
In1 0.500 0.500 0.000 1

=====

# BeF (GGA-PBE, optimized geometry)
# Offset from the most stable computed form, meV/atom: 523
# Spin magnetization, μB per formula unit: 0.00
# DOS at the Fermi energy, states/eV/f.u.: 0.46
# Uncorrected formation energy, eV/atom: -1.4844
# Energy, eV per atom: -4.28
# SG: P1
data_BeF
_chemical_formula_sum 'Be1 F1'
_cell_length_a 2.429
_cell_length_b 2.834
_cell_length_c 4.874
_cell_angle_alpha 87.39
_cell_angle_beta 82.00
_cell_angle_gamma 64.74
_space_group_name_H-M_alt 'P 1'
_space_group_IT_number 1
loop_
_space_group_symop_operation_xyz
'x,y,z'
loop_
_atom_site_label
_atom_site_fract_x
_atom_site_fract_y
_atom_site_fract_z
_atom_site_occupancy
Be1 0.000 0.000 0.000 1
F1 0.440 0.006 0.202 1

=====

# In2FeHg (GGA-PBE, optimized geometry)
# Spin magnetization, μB per formula unit: 2.71
# ΔH_f (0 K), eV per atom: 0.307
# DOS at the Fermi energy, states/eV/f.u.: 2.69
# Energy, eV per atom: -3.25
# SG: R3m
data_In2FeHg
_chemical_formula_sum 'In2 Fe1 Hg1'
_cell_length_a 9.564
_cell_length_b 9.564
_cell_length_c 9.564
_cell_angle_alpha 19.62
_cell_angle_beta 19.62
_cell_angle_gamma 19.62
_space_group_name_H-M_alt 'P 1'
_space_group_IT_number 1
loop_
_space_group_symop_operation_xyz
'x,y,z'
loop_
_atom_site_label
_atom_site_fract_x
_atom_site_fract_y
_atom_site_fract_z
_atom_site_occupancy
In1 0.000 0.000 0.000 1
In2 0.237 0.237 0.237 1
Fe1 0.739 0.739 0.739 1
Hg1 0.479 0.479 0.479 1

=====

# RbBaTl (GGA-PBE, optimized geometry)
# Offset from the most stable computed form, meV/atom: 87
# Spin magnetization, μB per formula unit: 0.00
# ΔH_f (0 K), eV per atom: -0.135
# DOS at the Fermi energy, states/eV/f.u.: 2.24
# Energy, eV per atom: -1.89
# SG: I4mm
data_RbBaTl
_chemical_formula_sum 'Rb1 Ba1 Tl1'
_cell_length_a 8.709
_cell_length_b 8.709
_cell_length_c 8.709
_cell_angle_alpha 150.49
_cell_angle_beta 150.49
_cell_angle_gamma 42.23
_space_group_name_H-M_alt 'P 1'
_space_group_IT_number 1
loop_
_space_group_symop_operation_xyz
'x,y,z'
loop_
_atom_site_label
_atom_site_fract_x
_atom_site_fract_y
_atom_site_fract_z
_atom_site_occupancy
Rb1 0.000 0.000 0.000 1
Ba1 0.262 0.262 0.000 1
Tl1 0.657 0.657 0.000 1